No. 1
First-principles (PBE-GGA) data for a relaxed structure of LaIn2Ru, as listed in Alexandria.

As for the crystal system: tetragonal. The formation energy comes out at 0.07 eV per atom.

abc: 4.1991 4.1991 22.3519
angles: 90.00 90.00 90.00
Atoms (fractional coordinates):
La: 0.0000 0.0000 0.0000
La: 0.0000 0.5000 0.2500
La: 0.5000 0.0000 0.7500
La: 0.5000 0.5000 0.5000
In: 0.2284 0.2500 0.6250
In: 0.2500 0.7284 0.8750
In: 0.2500 0.7716 0.3750
In: 0.2716 0.2500 0.1250
In: 0.7284 0.7500 0.1250
In: 0.7500 0.2284 0.3750
In: 0.7500 0.2716 0.8750
In: 0.7716 0.7500 0.6250
Ru: 0.0000 0.0000 0.5000
Ru: 0.0000 0.5000 0.7500
Ru: 0.5000 0.0000 0.2500
Ru: 0.5000 0.5000 0.0000

=====

No. 2
First-principles (PBE-GGA) data for a relaxed structure of Li2InGePd, as listed in Alexandria.

As for the crystal system: tetragonal. The formation energy comes out at 0.04 eV per atom. The energy above the most stable polymorph in this dataset comes out at 8.29 kcal/mol of atoms.

abc: 4.6053 4.6053 5.1382
angles: 90.00 90.00 90.00
Atoms (fractional coordinates):
Li: 0.0000 0.5000 0.0000
Li: 0.5000 0.0000 0.0000
In: 0.0000 0.0000 0.5000
Ge: 0.5000 0.5000 0.5000
Pd: 0.0000 0.0000 0.0000

=====

No. 3
First-principles (PBE-GGA) data for a relaxed structure of AgPb3, as listed in Alexandria.

As for the crystal system: orthorhombic. The formation energy comes out at 0.03 eV per atom.

abc: 3.5105 3.5950 8.8301
angles: 90.00 90.00 90.00
Atoms (fractional coordinates):
Ag: 0.0000 0.0000 0.0000
Pb: 0.0000 0.0000 0.5000
Pb: 0.5000 0.5000 0.2169
Pb: 0.5000 0.5000 0.7831

=====

No. 4
First-principles (PBE-GGA) data for a relaxed structure of ErTmFe, as listed in Alexandria.

As for the crystal system: tetragonal. The formation energy comes out at 0.00 eV per atom. The energy above the most stable polymorph in this dataset comes out at 0.00 kcal/mol of atoms.

abc: 3.2877 3.2877 12.5790
angles: 90.00 90.00 90.00
Atoms (fractional coordinates):
Er: 0.0000 0.0000 0.0000
Er: 0.5000 0.5000 0.5000
Tm: 0.0000 0.0000 0.7475
Tm: 0.5000 0.5000 0.2475
Fe: 0.0000 0.0000 0.3730
Fe: 0.5000 0.5000 0.8730

=====

No. 5
First-principles (PBE-GGA) data for a relaxed structure of PtI2Cl2, as listed in Alexandria.

Its energy relative to the elements, uncorrected is -140 meV per atom. As for the crystal system: triclinic.

abc: 6.9917 7.0038 9.3705
angles: 70.57 70.70 63.91
Atoms (fractional coordinates):
Pt: 0.0891 0.4109 0.2499
Pt: 0.9109 0.5891 0.7501
I: 0.2096 0.0047 0.3913
I: 0.4952 0.2904 0.1087
I: 0.5048 0.7096 0.8913
I: 0.7904 0.9953 0.6087
Cl: 0.0160 0.7653 0.1168
Cl: 0.2652 0.5162 0.6169
Cl: 0.7348 0.4838 0.3831
Cl: 0.9840 0.2347 0.8832

=====

No. 6
First-principles (PBE-GGA) data for a relaxed structure of Cr2RuBr, as listed in Alexandria.

Its energy relative to the elements, uncorrected is 645 meV per atom. As for the crystal system: trigonal. The energy above the most stable polymorph in this dataset comes out at 4.06 kcal/mol of atoms.

abc: 2.8582 2.8582 24.0499
angles: 90.00 90.00 120.00
Atoms (fractional coordinates):
Cr: 0.0000 0.0000 0.2487
Cr: 0.0000 0.0000 0.7513
Cr: 0.3333 0.6667 0.4180
Cr: 0.3333 0.6667 0.9153
Cr: 0.6667 0.3333 0.0847
Cr: 0.6667 0.3333 0.5820
Ru: 0.0000 0.0000 0.5000
Ru: 0.3333 0.6667 0.1667
Ru: 0.6667 0.3333 0.8333
Br: 0.0000 0.0000 0.0000
Br: 0.3333 0.6667 0.6667
Br: 0.6667 0.3333 0.3333

=====

No. 7
First-principles (PBE-GGA) data for a relaxed structure of LiCeTm2Pt4, as listed in Alexandria.

As for the crystal system: trigonal. The formation energy comes out at -1.05 eV per atom.

abc: 8.5155 8.5155 8.5155
angles: 32.67 32.67 32.67
Atoms (fractional coordinates):
Li: 0.0000 0.0000 0.0000
Ce: 0.5000 0.5000 0.5000
Tm: 0.2620 0.2620 0.2620
Tm: 0.7380 0.7380 0.7380
Pt: 0.1135 0.1135 0.1135
Pt: 0.3793 0.3793 0.3793
Pt: 0.6207 0.6207 0.6207
Pt: 0.8865 0.8865 0.8865

=====

No. 8
First-principles (PBE-GGA) data for a relaxed structure of Tl2FeBi, as listed in Alexandria.

As for the crystal system: tetragonal. The formation energy comes out at 0.59 eV per atom. The energy above the most stable polymorph in this dataset comes out at 0.00 kcal/mol of atoms.

abc: 4.2622 4.2622 22.1991
angles: 90.00 90.00 90.00
Atoms (fractional coordinates):
Tl: 0.2367 0.2500 0.1250
Tl: 0.2500 0.7367 0.3750
Tl: 0.2500 0.7633 0.8750
Tl: 0.2633 0.2500 0.6250
Tl: 0.7367 0.7500 0.6250
Tl: 0.7500 0.2367 0.8750
Tl: 0.7500 0.2633 0.3750
Tl: 0.7633 0.7500 0.1250
Fe: 0.0000 0.0000 0.0000
Fe: 0.0000 0.5000 0.2500
Fe: 0.5000 0.0000 0.7500
Fe: 0.5000 0.5000 0.5000
Bi: 0.0000 0.0000 0.5000
Bi: 0.0000 0.5000 0.7500
Bi: 0.5000 0.0000 0.2500
Bi: 0.5000 0.5000 0.0000

=====

No. 9
First-principles (PBE-GGA) data for a relaxed structure of AgPPb, as listed in Alexandria.

As for the crystal system: orthorhombic. The formation energy comes out at 0.31 eV per atom. The energy above the most stable polymorph in this dataset comes out at 4.51 kcal/mol of atoms.

abc: 3.1575 3.8753 10.9735
angles: 90.00 90.00 90.00
Atoms (fractional coordinates):
Ag: 0.0000 0.0000 0.0000
Ag: 0.5000 0.5000 0.5000
P: 0.0000 0.0000 0.4150
P: 0.5000 0.5000 0.9150
Pb: 0.0000 0.0000 0.7040
Pb: 0.5000 0.5000 0.2040

=====

No. 10
First-principles (PBE-GGA) data for a relaxed structure of YSi2Ag, as listed in Alexandria.

Its energy relative to the elements, uncorrected is -6 meV per atom. As for the crystal system: cubic.

abc: 6.7773 6.7773 6.7773
angles: 90.00 90.00 90.00
Atoms (fractional coordinates):
Y: 0.0000 0.0000 0.0000
Y: 0.0000 0.5000 0.5000
Y: 0.5000 0.0000 0.5000
Y: 0.5000 0.5000 0.0000
Si: 0.2500 0.2500 0.2500
Si: 0.2500 0.2500 0.7500
Si: 0.2500 0.7500 0.2500
Si: 0.2500 0.7500 0.7500
Si: 0.7500 0.2500 0.2500
Si: 0.7500 0.2500 0.7500
Si: 0.7500 0.7500 0.2500
Si: 0.7500 0.7500 0.7500
Ag: 0.0000 0.0000 0.5000
Ag: 0.0000 0.5000 0.0000
Ag: 0.5000 0.0000 0.0000
Ag: 0.5000 0.5000 0.5000

=====

No. 11
First-principles (PBE-GGA) data for a relaxed structure of InRu3Br, as listed in Alexandria.

Its energy relative to the elements, uncorrected is 1280 meV per atom. As for the crystal system: cubic. The energy above the most stable polymorph in this dataset comes out at 0.00 kcal/mol of atoms.

abc: 4.5674 4.5674 4.5674
angles: 90.00 90.00 90.00
Atoms (fractional coordinates):
In: 0.0000 0.0000 0.0000
Ru: 0.0000 0.5000 0.5000
Ru: 0.5000 0.0000 0.5000
Ru: 0.5000 0.5000 0.0000
Br: 0.5000 0.5000 0.5000

=====

No. 12
First-principles (PBE-GGA) data for a relaxed structure of Pm6YHo3Th2, as listed in Alexandria.

As for the crystal system: monoclinic. The formation energy comes out at 0.04 eV per atom.

abc: 6.2330 6.2330 11.9616
angles: 95.00 95.00 119.94
Atoms (fractional coordinates):
Pm: 0.0801 0.4170 0.7513
Pm: 0.2459 0.2459 0.2494
Pm: 0.4170 0.0801 0.7513
Pm: 0.5830 0.9199 0.2487
Pm: 0.7541 0.7541 0.7506
Pm: 0.9199 0.5830 0.2487
Y: 0.5000 0.5000 0.0000
Ho: 0.0000 0.0000 0.5000
Ho: 0.3333 0.6667 0.5000
Ho: 0.6667 0.3333 0.5000
Th: 0.1664 0.8336 0.0000
Th: 0.8336 0.1664 0.0000

=====

These records have ρ values of 7.91 4.69 10.87 9.58 4.55 8.34 13.13 11.09 8.56 5.40 8.68 8.03 g/cm3, in the order they appear.
These records have total energy values of -4.848 -3.238 -3.459 -5.833 -2.707 -6.904 -6.172 -3.682 -3.684 -5.046 -5.168 -5.257 eV per atom, in the order they appear.